First-principles (GGA-PBEsol) data for Tl2InSe after structural relaxation, as listed in the Alexandria database.

CIF file:
```
data_Tl2InSe
_chemical_formula_sum 'Tl2 In1 Se1'
_space_group_name_H-M_alt 'P 1 m 1'
_space_group_IT_number 6
_space_group_name_Hall 'P -2y'
_cell_length_a 4.9640
_cell_length_b 3.9134
_cell_length_c 6.2927
_cell_angle_alpha 90.00
_cell_angle_beta 113.05
_cell_angle_gamma 90.00
loop_
_atom_site_label
_atom_site_fract_x
_atom_site_fract_y
_atom_site_fract_z
Tl1 0.0000 0.0000 0.0000
Tl2 0.3672 0.5000 0.5939
In1 0.5568 0.5000 0.1396
Se1 0.8409 0.0000 0.4745
```

## Properties
The total magnetic moment comes out at 0.00 Bohr magnetons per cell. The formation energy without anion corrections is -0.18 eV per atom.



First-principles (GGA-PBEsol) data for NaLiZrSi6O15 after structural relaxation, as listed in the Alexandria database.

CIF file:
```
data_NaLiZrSi6O15
_chemical_formula_sum 'Na8 Li8 Zr8 Si48 O120'
_space_group_name_H-M_alt 'C m c e'
_space_group_IT_number 64
_space_group_name_Hall '-C 2ac 2'
_cell_length_a 14.3916
_cell_length_b 17.3759
_cell_length_c 10.2260
_cell_angle_alpha 90.00
_cell_angle_beta 90.00
_cell_angle_gamma 90.00
loop_
_atom_site_label
_atom_site_fract_x
_atom_site_fract_y
_atom_site_fract_z
Na1 0.2500 0.2153 0.2500
Li1 0.2462 0.0000 0.0000
Zr1 0.2500 0.0889 0.7500
Si1 0.1089 0.1274 0.4818
Si2 0.1090 0.1926 0.9591
Si3 0.1110 0.0732 0.1888
O1 0.0000 0.0583 0.1835
O2 0.0000 0.1057 0.4984
O3 0.0000 0.1777 0.9281
O4 0.1256 0.2189 0.5078
O5 0.1404 0.1119 0.3294
O6 0.1413 0.1404 0.0844
O7 0.1698 0.0032 0.8409
O8 0.1716 0.1756 0.8322
O9 0.1729 0.0779 0.5787
```

## Properties
The total magnetic moment comes out at 0.00 Bohr magnetons per cell. The formation energy without anion corrections is -2.83 eV per atom.



First-principles (GGA-PBEsol) data for SrIF2 after structural relaxation, as listed in the Alexandria database.

CIF file:
```
data_SrIF2
_chemical_formula_sum 'Sr3 I3 F6'
_space_group_name_H-M_alt 'R -3 m'
_space_group_IT_number 166
_space_group_name_Hall '-R 3 2"'
_cell_length_a 4.3617
_cell_length_b 4.3617
_cell_length_c 15.2233
_cell_angle_alpha 90.00
_cell_angle_beta 90.00
_cell_angle_gamma 120.00
loop_
_atom_site_label
_atom_site_fract_x
_atom_site_fract_y
_atom_site_fract_z
Sr1 0.0000 0.0000 0.0000
I1 0.0000 0.0000 0.5000
F1 0.0000 0.0000 0.3229
```

## Properties
The total magnetic moment comes out at 1.43 Bohr magnetons per cell. The formation energy without anion corrections is -2.45 eV per atom.



First-principles (GGA-PBEsol) data for YGa3 after structural relaxation, as listed in the Alexandria database.

CIF file:
```
data_YGa3
_chemical_formula_sum 'Y1 Ga3'
_space_group_name_H-M_alt 'P m -3 m'
_space_group_IT_number 221
_space_group_name_Hall '-P 4 2 3'
_cell_length_a 4.2053
_cell_length_b 4.2053
_cell_length_c 4.2053
_cell_angle_alpha 90.00
_cell_angle_beta 90.00
_cell_angle_gamma 90.00
loop_
_atom_site_label
_atom_site_fract_x
_atom_site_fract_y
_atom_site_fract_z
Y1 0.0000 0.0000 0.0000
Ga1 0.0000 0.5000 0.5000
```

## Properties
The total magnetic moment comes out at 0.00 Bohr magnetons per cell. Its formation energy is -582 meV per atom.



First-principles (GGA-PBEsol) data for Cr2ReTcPb after structural relaxation, as listed in the Alexandria database.

CIF file:
```
data_Cr2ReTcPb
_chemical_formula_sum 'Cr2 Re1 Tc1 Pb1'
_space_group_name_H-M_alt 'P 4/m m m'
_space_group_IT_number 123
_space_group_name_Hall '-P 4 2'
_cell_length_a 4.6268
_cell_length_b 4.6268
_cell_length_c 4.6853
_cell_angle_alpha 90.00
_cell_angle_beta 90.00
_cell_angle_gamma 90.00
loop_
_atom_site_label
_atom_site_fract_x
_atom_site_fract_y
_atom_site_fract_z
Cr1 0.0000 0.5000 0.0000
Re1 0.0000 0.0000 0.0000
Tc1 0.0000 0.0000 0.5000
Pb1 0.5000 0.5000 0.5000
```

## Properties
The total magnetic moment comes out at 5.24 Bohr magnetons per cell. Its formation energy is 1428 meV per atom.



First-principles (GGA-PBEsol) data for LiPW after structural relaxation, as listed in the Alexandria database.

CIF file:
```
data_LiPW
_chemical_formula_sum 'Li4 P4 W4'
_space_group_name_H-M_alt 'F m m 2'
_space_group_IT_number 42
_space_group_name_Hall 'F 2 -2'
_cell_length_a 3.2140
_cell_length_b 4.4937
_cell_length_c 12.3911
_cell_angle_alpha 90.00
_cell_angle_beta 90.00
_cell_angle_gamma 90.00
loop_
_atom_site_label
_atom_site_fract_x
_atom_site_fract_y
_atom_site_fract_z
Li1 0.0000 0.0000 0.0000
P1 0.0000 0.0000 0.6679
W1 0.0000 0.0000 0.3110
```

## Properties
The total magnetic moment comes out at 0.00 Bohr magnetons per cell. Its formation energy is 102 meV per atom.



First-principles (GGA-PBEsol) data for La2AlSi after structural relaxation, as listed in the Alexandria database.

CIF file:
```
data_La2AlSi
_chemical_formula_sum 'La2 Al1 Si1'
_space_group_name_H-M_alt 'P m m m'
_space_group_IT_number 47
_space_group_name_Hall '-P 2 2'
_cell_length_a 3.4892
_cell_length_b 5.1487
_cell_length_c 6.2309
_cell_angle_alpha 90.00
_cell_angle_beta 90.00
_cell_angle_gamma 90.00
loop_
_atom_site_label
_atom_site_fract_x
_atom_site_fract_y
_atom_site_fract_z
La1 0.0000 0.0000 0.0000
La2 0.5000 0.5000 0.5000
Al1 0.0000 0.0000 0.5000
Si1 0.5000 0.5000 0.0000
```

## Properties
The total magnetic moment comes out at 0.00 Bohr magnetons per cell. The formation energy without anion corrections is -0.16 eV per atom.



First-principles (GGA-PBEsol) data for TePPt2 after structural relaxation, as listed in the Alexandria database.

CIF file:
```
data_TePPt2
_chemical_formula_sum 'Te2 P2 Pt4'
_space_group_name_H-M_alt 'C 1 m 1'
_space_group_IT_number 8
_space_group_name_Hall 'C -2y'
_cell_length_a 7.6655
_cell_length_b 3.3274
_cell_length_c 6.0422
_cell_angle_alpha 90.00
_cell_angle_beta 92.66
_cell_angle_gamma 90.00
loop_
_atom_site_label
_atom_site_fract_x
_atom_site_fract_y
_atom_site_fract_z
Te1 0.0000 0.0000 0.0000
P1 0.2559 0.0000 0.4913
Pt1 0.0433 0.5000 0.3590
Pt2 0.2070 0.5000 0.7597
```

## Properties
The total magnetic moment comes out at 0.00 Bohr magnetons per cell. The formation energy without anion corrections is -0.29 eV per atom.



First-principles (GGA-PBEsol) data for Zr2IrRh after structural relaxation, as listed in the Alexandria database.

CIF file:
```
data_Zr2IrRh
_chemical_formula_sum 'Zr6 Ir3 Rh3'
_space_group_name_H-M_alt 'R -3 m'
_space_group_IT_number 166
_space_group_name_Hall '-R 3 2"'
_cell_length_a 3.8054
_cell_length_b 3.8054
_cell_length_c 18.1537
_cell_angle_alpha 90.00
_cell_angle_beta 90.00
_cell_angle_gamma 120.00
loop_
_atom_site_label
_atom_site_fract_x
_atom_site_fract_y
_atom_site_fract_z
Zr1 0.0000 0.0000 0.2505
Ir1 0.0000 0.0000 0.0000
Rh1 0.0000 0.0000 0.5000
```

## Properties
The total magnetic moment comes out at 0.00 Bohr magnetons per cell. Its formation energy is -457 meV per atom.



First-principles (GGA-PBEsol) data for MnMo2Cl after structural relaxation, as listed in the Alexandria database.

CIF file:
```
data_MnMo2Cl
_chemical_formula_sum 'Mn1 Mo2 Cl1'
_space_group_name_H-M_alt 'P m m m'
_space_group_IT_number 47
_space_group_name_Hall '-P 2 2'
_cell_length_a 2.9012
_cell_length_b 4.4409
_cell_length_c 4.5120
_cell_angle_alpha 90.00
_cell_angle_beta 90.00
_cell_angle_gamma 90.00
loop_
_atom_site_label
_atom_site_fract_x
_atom_site_fract_y
_atom_site_fract_z
Mn1 0.0000 0.0000 0.0000
Mo1 0.0000 0.5000 0.5000
Mo2 0.5000 0.0000 0.5000
Cl1 0.5000 0.5000 0.0000
```

## Properties
The total magnetic moment comes out at 2.26 Bohr magnetons per cell. The formation energy without anion corrections is 0.75 eV per atom.



First-principles (GGA-PBEsol) data for LiLaPt after structural relaxation, as listed in the Alexandria database.

CIF file:
```
data_LiLaPt
_chemical_formula_sum 'Li1 La1 Pt1'
_space_group_name_H-M_alt 'P -6 m 2'
_space_group_IT_number 187
_space_group_name_Hall 'P -6 2'
_cell_length_a 4.3175
_cell_length_b 4.3175
_cell_length_c 3.9049
_cell_angle_alpha 90.00
_cell_angle_beta 90.00
_cell_angle_gamma 120.00
loop_
_atom_site_label
_atom_site_fract_x
_atom_site_fract_y
_atom_site_fract_z
Li1 0.0000 0.0000 0.0000
La1 0.3333 0.6667 0.5000
Pt1 0.6667 0.3333 0.0000
```

## Properties
The total magnetic moment comes out at 0.00 Bohr magnetons per cell. Its formation energy is -666 meV per atom.



First-principles (GGA-PBEsol) data for BaSrAgI2 after structural relaxation, as listed in the Alexandria database.

CIF file:
```
data_BaSrAgI2
_chemical_formula_sum 'Ba1 Sr1 Ag1 I2'
_space_group_name_H-M_alt 'P 4/m m m'
_space_group_IT_number 123
_space_group_name_Hall '-P 4 2'
_cell_length_a 6.0173
_cell_length_b 6.0173
_cell_length_c 8.2600
_cell_angle_alpha 90.00
_cell_angle_beta 90.00
_cell_angle_gamma 90.00
loop_
_atom_site_label
_atom_site_fract_x
_atom_site_fract_y
_atom_site_fract_z
Ba1 0.0000 0.0000 0.0000
Sr1 0.0000 0.0000 0.5000
Ag1 0.5000 0.5000 0.0000
I1 0.0000 0.5000 0.5000
```

## Properties
The total magnetic moment comes out at 0.77 Bohr magnetons per cell. The formation energy without anion corrections is -0.30 eV per atom.